First-principles (PBE) data for crystalline SmNb2CuSi2 at its relaxed geometry, as listed in OQMD via LeMat-Bulk.

It has space group P4mm (No. 99), with a = 3.933 Å, b = 3.933 Å, c = 7.589 Å, α = 90.00°, β = 90.00° and γ = 90.00°. The distinct sites, in fractional coordinates, are Sm at (0.000, 0.000, 0.000), Nb at (0.000, 0.500, 0.380), Cu at (0.500, 0.500, 0.663), Si at (0.000, 0.000, 0.622) and Si at (0.500, 0.500, 0.134).

Its energy is -6.849 eV per atom. The total magnetization is 0.0 μB/f.u.